Below is a relaxed RbSc6S8 crystal, with properties calculated at the GGA-PBE level.

```
15
Lattice="5.210 3.008 4.077 -5.210 3.008 4.077 0.000 -6.016 4.077" Properties=species:S:1:pos:R:3 pbc="T T T"
Rb 0.000 0.000 0.000
Sc -1.005 -1.676 4.714
Sc -0.949 1.708 4.714
Sc -1.954 0.032 7.516
Sc 1.954 -0.032 4.714
Sc 0.949 -1.708 7.516
Sc 1.005 1.676 7.516
S -2.929 0.094 5.096
S 0.000 0.000 3.171
S -1.546 -2.490 7.135
S 1.383 -2.583 5.096
S -1.383 2.583 7.135
S 1.546 2.490 5.096
S 0.000 0.000 9.059
S 2.929 -0.094 7.135
```

Calculated values
Crystal system   trigonal
ΔE_f (raw)   -1760 meV/atom

---

Below is a relaxed Y4PCl5 crystal, with properties calculated at the GGA-PBE level.

```
10
Lattice="8.678 -1.959 0.000 8.678 1.959 0.000 -1.831 0.000 7.767" Properties=species:S:1:pos:R:3 pbc="T T T"
Y 16.943 0.000 1.749
Y -1.419 0.000 6.018
Y 4.344 0.000 7.102
Y 11.181 0.000 0.665
P 8.678 0.000 0.000
Cl 2.275 0.000 2.569
Cl 1.455 0.000 6.577
Cl 7.762 0.000 3.884
Cl 14.070 0.000 1.191
Cl 13.249 0.000 5.198
```

Calculated values
Crystal system   monoclinic
ΔE_f (raw)   -1863 meV/atom

---

Below is a relaxed KLiZnCd2 crystal, with properties calculated at the GGA-PBE level.

```
5
Lattice="5.164 0.000 0.000 0.000 5.164 0.000 0.000 0.000 5.317" Properties=species:S:1:pos:R:3 pbc="T T T"
K 0.000 0.000 0.000
Li 2.582 2.582 0.000
Zn 2.582 2.582 2.658
Cd 0.000 2.582 2.658
Cd 2.582 0.000 2.658
```

Calculated values
Crystal system   tetragonal
E_form   0.025 eV/atom

---

Below is a relaxed B2C crystal, with properties calculated at the GGA-PBE level.

```
12
Lattice="2.689 0.000 0.000 0.000 8.880 0.000 0.000 0.000 4.637" Properties=species:S:1:pos:R:3 pbc="T T T"
B 0.000 0.083 0.000
B 0.000 3.951 2.500
B 0.000 3.969 4.374
B 0.000 6.968 1.250
B 1.344 1.912 3.569
B 1.344 4.911 2.055
B 1.344 4.929 0.181
B 1.344 8.797 2.319
C 0.000 2.709 3.440
C 0.000 8.527 1.563
C 1.344 0.352 3.882
C 1.344 6.171 1.121
```

Calculated values
Crystal system   orthorhombic
E above lowest polymorph   0.028 eV/atom
E_form   0.213 eV/atom

---

| no. | DOS(E_F) (states/eV/cell) |
| --- | --- |
| 1 | 7.541 |
| 2 | 2.783 |
| 3 | 2.153 |
| 4 | 1.573 |